Record 1
The following is a PBE calculation of an optimized crystal structure of Tm4Bi2Os, from Alexandria via LeMat-Bulk.

Lattice parameters (Å, degrees): 4.3410 7.8800 12.0629 90.00 90.00 90.00
Last column: nearest neighbours and their distance in Å.
Element x y z (fractional)
Tm  0.0000  0.1330  0.6970  1 Os 2.60
Bi  0.5000  0.4233  0.6710  7 Tm 3.16-3.43
Tm  0.0000  0.8670  0.3030  1 Os 2.60
Tm  0.5000  0.7049  0.0575  2 Os 2.79
Bi  0.5000  0.0767  0.1710  7 Tm 3.16-3.43
Tm  0.0000  0.6330  0.8030  1 Os 2.60
Tm  0.0000  0.3670  0.1970  1 Os 2.60
Bi  0.5000  0.5767  0.3290  7 Tm 3.16-3.43
Bi  0.5000  0.9233  0.8290  7 Tm 3.16-3.43
Tm  0.5000  0.2951  0.9425  2 Os 2.79
Tm  0.5000  0.7951  0.5575  2 Os 2.79
Os  0.0000  0.5000  0.0000  6 Tm 2.60-2.79
Os  0.0000  0.0000  0.5000  6 Tm 2.60-2.79
Tm  0.5000  0.2049  0.4425  2 Os 2.79

Computed properties:
The value obtained for the density of states at the Fermi level is 4.16 states/eV/f.u. For the formation energy, the calculation gives -501 meV per atom.

Record 2
The following is a PBE calculation of an optimized crystal structure of U2BiOs, from Alexandria via LeMat-Bulk.

Lattice parameters (Å, degrees): 3.7724 3.7724 6.3708 90.00 90.00 90.00
Last column: nearest neighbours and their distance in Å.
Element x y z (fractional)
U  0.0000  0.0000  0.8045  1 U 2.49
U  0.0000  0.0000  0.1955  1 U 2.49
Os  0.5000  0.5000  0.0000  8 U 2.94, 2 Bi 3.19
Bi  0.5000  0.5000  0.5000  2 Os 3.19, 8 U 3.30

Computed properties:
The value obtained for the density of states at the Fermi level is 8.55 states/eV/f.u. For the formation energy, the calculation gives 133 meV per atom.

Record 3
The following is a PBE calculation of an optimized crystal structure of UBiOs, from Alexandria via LeMat-Bulk.

Lattice parameters (Å, degrees): 3.6731 3.6731 11.7983 98.96 98.96 90.00
Last column: nearest neighbours and their distance in Å.
Element x y z (fractional)
U  0.1692  0.1692  0.3385  5 Os 2.71-2.95
Bi  0.4271  0.4271  0.8542  1 Os 2.99
U  0.8308  0.8308  0.6615  5 Os 2.71-2.95
Os  0.2973  0.2973  0.5946  5 U 2.71-2.95, 1 Bi 2.99
Bi  0.5729  0.5729  0.1458  1 Os 2.99
Os  0.7027  0.7027  0.4054  5 U 2.71-2.95, 1 Bi 2.99

Computed properties:
The value obtained for the density of states at the Fermi level is 3.59 states/eV/f.u. For the formation energy, the calculation gives 137 meV per atom.

Record 4
The following is a PBE calculation of an optimized crystal structure of VBi2Os, from Alexandria via LeMat-Bulk.

Lattice parameters (Å, degrees): 4.8834 4.8834 4.8834 60.00 60.00 60.00
Last column: nearest neighbours and their distance in Å.
Element x y z (fractional)
Bi  0.2500  0.2500  0.2500  4 Os 2.99, 4 V 2.99
Os  0.5000  0.5000  0.5000  8 Bi 2.99
Bi  0.7500  0.7500  0.7500  4 Os 2.99, 4 V 2.99
V  0.0000  0.0000  0.0000  8 Bi 2.99

Computed properties:
The energy above the most stable polymorph in this dataset is 0 meV per atom. The value obtained for the density of states at the Fermi level is 3.20 states/eV/f.u. For the formation energy, the calculation gives 713 meV per atom.